[1]
Nd3SmSe3O4 after structural relaxation. Source: OQMD, functional PBE-GGA.

* E_tot: -79.64 eV per cell
* spin magnetization: 0.00 μB/cell

Unit cell a=8.433 b=6.731 c=6.731 alpha=34.42 beta=90.00 gamma=90.00
Fractional coordinates of all 11 atoms:
Nd1 0.000 0.000 0.000
Nd2 0.238 0.685 0.685
Nd3 0.762 0.685 0.685
Sm1 0.500 0.019 0.019
Se1 0.000 0.313 0.313
Se2 0.351 0.358 0.358
Se3 0.649 0.358 0.358
O1 0.000 0.589 0.589
O2 0.246 0.087 0.087
O3 0.500 0.615 0.615
O4 0.754 0.087 0.087

[2]
Nd3SmSe3O4 after structural relaxation. Source: OQMD, functional PBE-GGA.

* E_tot: -79.65 eV per cell
* spin magnetization: 0.00 μB/cell

Unit cell a=8.448 b=6.719 c=6.719 alpha=34.52 beta=90.00 gamma=90.00
Fractional coordinates of all 11 atoms:
Nd1 0.000 0.000 0.000
Nd2 0.264 0.668 0.668
Nd3 0.736 0.668 0.668
Sm1 0.500 0.986 0.986
Se1 0.149 0.340 0.340
Se2 0.500 0.298 0.298
Se3 0.851 0.340 0.340
O1 0.000 0.600 0.600
O2 0.258 0.070 0.070
O3 0.500 0.571 0.571
O4 0.742 0.070 0.070

[3]
Nd2Sm2Se3O4 after structural relaxation. Source: OQMD, functional PBE-GGA.

* E_tot: -79.70 eV per cell
* spin magnetization: 0.00 μB/cell

Unit cell a=8.432 b=6.702 c=6.702 alpha=34.47 beta=90.00 gamma=90.00
Fractional coordinates of all 11 atoms:
Nd1 0.237 0.000 0.000
Nd2 0.763 0.000 0.000
Sm1 0.000 0.317 0.317
Sm2 0.500 0.334 0.334
Se1 0.000 0.630 0.630
Se2 0.351 0.673 0.673
Se3 0.649 0.673 0.673
O1 0.000 0.903 0.903
O2 0.244 0.402 0.402
O3 0.500 0.931 0.931
O4 0.756 0.402 0.402